Entry 1:
An optimized crystal structure of AlIr2Ru. Source: Alexandria, functional PBE.

Results
ΔH_f (0 K): -0.2488 eV per atom

a b c (Å): 3.8672 3.8672 3.8189
angles (deg): 90.00 90.00 90.00
Space group P4/mmm (No. 123)
Asymmetric unit:
Al 0.0000 0.0000 0.0000 (multiplicity 1)
Ir 0.0000 0.5000 0.5000 (multiplicity 2)
Ru 0.5000 0.5000 0.0000 (multiplicity 1)


Entry 2:
An optimized crystal structure of Al4Ir2Ru. Source: Alexandria, functional PBE.

Results
ΔH_f (0 K): -0.7710 eV per atom

a b c (Å): 4.2556 4.2556 20.2081
angles (deg): 90.00 90.00 120.00
Space group R-3m (No. 166, hexagonal axes)
Asymmetric unit:
Al 0.0000 0.0000 0.1172 (multiplicity 6)
Al 0.0000 0.0000 0.3714 (multiplicity 6)
Ir 0.0000 0.0000 0.2478 (multiplicity 6)
Ru 0.0000 0.0000 0.5000 (multiplicity 3)


- Which formula does entry 2 have?
  Al4Ir2Ru


- The lowest ΔH_f (0 K) belongs to which entry?
  Al4Ir2Ru


- Which of these has the lowest ΔH_f (0 K)?
  Al4Ir2Ru